Record 1
DFT (PBE) results for crystalline La2TaRe at its relaxed geometry.

Computed properties:
The total energy comes out at -0.5650 Ry/atom. The calculation puts the density at 11.2 Mg/m³. The energy relative to the lowest polymorph listed for this composition is 725.7 meV per atom. The formation energy comes out at 3.41 eV per formula unit. Its crystal system is trigonal.

```
data_La2TaRe
_chemical_formula_sum 'La6 Ta3 Re3'
_cell_length_a 3.3297
_cell_length_b 3.3297
_cell_length_c 29.7972
_cell_angle_alpha 90.00
_cell_angle_beta 90.00
_cell_angle_gamma 120.00
_symmetry_space_group_name_H-M 'R -3 m'
_symmetry_Int_Tables_number 166
_symmetry_space_group_name_Hall '-R 3 2"'
loop_
_atom_site_label
_atom_site_fract_x
_atom_site_fract_y
_atom_site_fract_z
La1 0.0000 0.0000 0.2429
Ta1 0.0000 0.0000 0.0000
Re1 0.0000 0.0000 0.5000
```

Record 2
DFT (PBE) results for crystalline La2TaRe at its relaxed geometry.

Computed properties:
The total energy comes out at -0.5765 Ry/atom. The calculation puts the density at 11.9 Mg/m³. The energy relative to the lowest polymorph listed for this composition is 569.5 meV per atom. The formation energy comes out at 2.78 eV per formula unit. Its crystal system is orthorhombic.

```
data_La2TaRe
_chemical_formula_sum 'La4 Ta2 Re2'
_cell_length_a 3.3297
_cell_length_b 5.2261
_cell_length_c 10.3659
_cell_angle_alpha 90.00
_cell_angle_beta 90.00
_cell_angle_gamma 90.00
_symmetry_space_group_name_H-M 'C m m m'
_symmetry_Int_Tables_number 65
_symmetry_space_group_name_Hall '-C 2 2'
loop_
_atom_site_label
_atom_site_fract_x
_atom_site_fract_y
_atom_site_fract_z
La1 0.0000 0.0000 0.2291
Ta1 0.0000 0.5000 0.5000
Re1 0.0000 0.5000 0.0000
```

Record 3
DFT (PBE) results for crystalline LaTaRe at its relaxed geometry.

Computed properties:
The total energy comes out at -0.6797 Ry/atom. The calculation puts the density at 13.3 Mg/m³. The energy relative to the lowest polymorph listed for this composition is 290.3 meV per atom. The formation energy comes out at 1.48 eV per formula unit. Its crystal system is trigonal.

```
data_LaTaRe
_chemical_formula_sum 'La1 Ta1 Re1'
_cell_length_a 4.6274
_cell_length_b 4.6274
_cell_length_c 3.3958
_cell_angle_alpha 90.00
_cell_angle_beta 90.00
_cell_angle_gamma 120.00
_symmetry_space_group_name_H-M 'P 3 m 1'
_symmetry_Int_Tables_number 156
_symmetry_space_group_name_Hall 'P 3 -2"'
loop_
_atom_site_label
_atom_site_fract_x
_atom_site_fract_y
_atom_site_fract_z
La1 0.0000 0.0000 0.0000
Ta1 0.3333 0.6667 0.6015
Re1 0.6667 0.3333 0.3684
```

Record 4
DFT (PBE) results for crystalline LaTaRe at its relaxed geometry.

Computed properties:
The total energy comes out at -0.6745 Ry/atom. The calculation puts the density at 11.7 Mg/m³. The energy relative to the lowest polymorph listed for this composition is 361.7 meV per atom. The formation energy comes out at 1.70 eV per formula unit. Its crystal system is cubic.

```
data_LaTaRe
_chemical_formula_sum 'La4 Ta4 Re4'
_cell_length_a 6.5914
_cell_length_b 6.5914
_cell_length_c 6.5914
_cell_angle_alpha 90.00
_cell_angle_beta 90.00
_cell_angle_gamma 90.00
_symmetry_space_group_name_H-M 'F -4 3 m'
_symmetry_Int_Tables_number 216
_symmetry_space_group_name_Hall 'F -4 2 3'
loop_
_atom_site_label
_atom_site_fract_x
_atom_site_fract_y
_atom_site_fract_z
La1 0.0000 0.0000 0.0000
Ta1 0.0000 0.0000 0.5000
Re1 0.2500 0.2500 0.2500
```

Record 5
DFT (PBE) results for crystalline La2TaRe at its relaxed geometry.

Computed properties:
The total energy comes out at -0.5865 Ry/atom. The calculation puts the density at 12.0 Mg/m³. The energy relative to the lowest polymorph listed for this composition is 432.8 meV per atom. The formation energy comes out at 2.23 eV per formula unit. Its crystal system is cubic.

```
data_La2TaRe
_chemical_formula_sum 'La8 Ta4 Re4'
_cell_length_a 7.1007
_cell_length_b 7.1007
_cell_length_c 7.1007
_cell_angle_alpha 90.00
_cell_angle_beta 90.00
_cell_angle_gamma 90.00
_symmetry_space_group_name_H-M 'F -4 3 m'
_symmetry_Int_Tables_number 216
_symmetry_space_group_name_Hall 'F -4 2 3'
loop_
_atom_site_label
_atom_site_fract_x
_atom_site_fract_y
_atom_site_fract_z
La1 0.0000 0.0000 0.0000
La2 0.2500 0.2500 0.2500
Ta1 0.0000 0.0000 0.5000
Re1 0.2500 0.2500 0.7500
```

Record 6
DFT (PBE) results for crystalline LaTaRe at its relaxed geometry.

Computed properties:
The total energy comes out at -0.7011 Ry/atom. The calculation puts the density at 12.6 Mg/m³. The energy relative to the lowest polymorph listed for this composition is 0.0 meV per atom. The formation energy comes out at 0.61 eV per formula unit. Its crystal system is tetragonal.

```
data_LaTaRe
_chemical_formula_sum 'La2 Ta2 Re2'
_cell_length_a 3.3108
_cell_length_b 3.3108
_cell_length_c 12.1715
_cell_angle_alpha 90.00
_cell_angle_beta 90.00
_cell_angle_gamma 90.00
_symmetry_space_group_name_H-M 'I 4 m m'
_symmetry_Int_Tables_number 107
_symmetry_space_group_name_Hall 'I 4 -2'
loop_
_atom_site_label
_atom_site_fract_x
_atom_site_fract_y
_atom_site_fract_z
La1 0.0000 0.0000 0.0000
Ta1 0.0000 0.0000 0.2864
Re1 0.0000 0.0000 0.6839
```